5
Lattice="4.7412 0.0000 0.0000 0.0000 4.4981 0.0000 0.0000 0.0000 4.7412" Properties=species:S:1:pos:R:3 comment="TlV2RhS, optimized geometry, DFT PBE" sg="No. 123" crystal_system=tetragonal pbc="T T T"
Tl 2.3706 2.2491 2.3706
Rh 0.0000 0.0000 0.0000
S 0.0000 2.2491 0.0000
V 0.0000 0.0000 2.3706
V 2.3706 0.0000 0.0000


12
Lattice="-4.3235 -2.7615 -3.5347 0.0550 -0.9330 6.1594 -0.3830 9.7346 -1.6631" Properties=species:S:1:pos:R:3 comment="Tl3Rh2WS6, optimized geometry, DFT PBE" sg="No. 12" crystal_system=monoclinic pbc="T T T"
Tl -0.8651 3.6301 3.7147
Tl -3.7864 2.4101 -2.7531
Tl -2.3257 3.0201 0.4808
Rh -1.4045 -1.5425 2.9281
Rh -2.8640 -2.1520 -0.3033
W 0.0000 0.0000 0.0000
S -3.9069 5.3613 -1.2770
S -3.5889 -1.4520 1.8948
S -0.7445 0.6789 2.2386
S -2.4273 5.9792 1.9989
S -1.0626 7.4922 -0.9332
S -2.2241 0.0610 -1.0373


4
Lattice="-2.1944 0.9593 2.5750 -2.5416 -2.1911 1.0516 3.6668 -3.7522 6.9238" Properties=species:S:1:pos:R:3 comment="Tm2RhS, optimized geometry, DFT PBE" polymorph_energy_mev_per_atom=588 sg="No. 166" crystal_system=trigonal pbc="T T T"
S -0.5346 -2.4920 5.2752
Tm 2.1216 -2.7678 5.2403
Tm -3.1908 -2.2162 5.3101
Rh 0.0000 0.0000 0.0000


18
Lattice="6.3410 0.0000 -0.0745 0.0000 7.1697 0.0000 0.2114 0.0000 9.6739" Properties=species:S:1:pos:R:3 comment="Tm6Rh2S, optimized geometry, DFT PBE" sg="No. 14" crystal_system=monoclinic pbc="T T T"
Tm 0.9917 0.3461 2.3507
Tm 1.2583 2.3797 5.4714
Tm 1.1985 2.2740 8.9426
Tm 2.2891 5.8588 5.5311
Tm 2.2293 5.9645 9.0023
Tm 2.2845 3.9309 2.4490
Tm 5.5607 6.8235 7.2487
Tm 5.2941 4.7899 4.1280
Tm 5.3539 4.8957 0.6568
Tm 4.2633 1.3109 4.0684
Tm 4.3231 1.2051 0.5972
Tm 4.2679 3.2387 7.1504
Rh 0.4754 4.3755 7.2426
Rh 3.0122 0.7906 7.2310
Rh 3.5402 6.3790 2.3684
Rh 6.0770 2.7942 2.3568
S 3.1705 3.5848 -0.0373
S 0.1057 0.0000 4.8370


4
Lattice="-1.7814 -2.0970 -2.4868 -1.1820 -3.3877 0.9390 -7.2522 0.9585 1.6300" Properties=species:S:1:pos:R:3 comment="Tm2RhS, optimized geometry, DFT PBE" polymorph_energy_mev_per_atom=0 sg="No. 160" crystal_system=trigonal pbc="T T T"
Tm -5.6933 0.2650 1.0960
Tm -2.5571 -1.1299 0.0217
Rh -5.1092 -2.2616 0.0419
S -9.2160 -2.7043 0.5937


10
Lattice="-1.5664 -0.1616 -3.3447 2.0239 -6.2900 -0.6439 -8.1005 -3.0097 3.9390" Properties=species:S:1:pos:R:3 comment="Tm3RhS, optimized geometry, DFT PBE" sg="No. 59" crystal_system=orthorhombic pbc="T T T"
Tm -5.7620 -8.7949 0.0588
Tm -1.8810 -0.6663 -0.1085
Tm -6.7322 -5.7796 0.3675
Tm -0.9107 -3.6817 -0.4172
Tm -4.2987 -3.2525 1.1488
Tm -3.3442 -6.2087 -1.1985
Rh -3.3956 -2.7068 -1.3436
Rh -4.2474 -6.7544 1.2939
S -7.5338 -4.4545 2.7219
S -0.1092 -5.0068 -2.7716


4
Lattice="3.6231 0.0000 0.0000 1.8116 3.1377 0.0000 1.8116 1.0459 7.6708" Properties=species:S:1:pos:R:3 comment="TmRhS2, optimized geometry, DFT PBE" sg="No. 166" crystal_system=trigonal pbc="T T T"
S 1.8116 1.0459 5.0166
S 5.4347 3.1377 2.6542
Tm 0.0000 0.0000 0.0000
Rh 3.6231 2.0918 3.8354


3
Lattice="-0.1387 2.8482 2.1517 1.5985 -2.2653 3.1017 2.5240 2.0708 -2.5784" Properties=species:S:1:pos:R:3 comment="URhS, optimized geometry, DFT PBE" polymorph_energy_mev_per_atom=36 sg="No. 187" crystal_system=hexagonal pbc="T T T"
Rh -0.0231 0.4752 0.3590
S 2.1924 1.0997 -0.3268
U 1.8145 1.0788 2.6427


20
Lattice="7.6370 -0.6026 -0.6161 -0.7682 7.6221 -0.6161 -0.7682 -0.7851 7.6066" Properties=species:S:1:pos:R:3 comment="U3RhS6, optimized geometry, DFT PBE" sg="No. 148" crystal_system=trigonal pbc="T T T"
U 1.6884 5.8762 4.5775
U 5.8382 4.5361 1.9166
U 1.6922 4.4500 0.3980
U 4.4083 1.7845 5.9763
U 0.2624 1.6983 4.4577
U 4.4122 0.3582 1.7968
Rh 0.0000 0.0000 0.0000
Rh 3.0503 3.1172 3.1871
S 1.5759 7.0780 -0.3431
S -0.9415 6.6158 4.6532
S 3.4047 5.5505 2.4026
S 6.6347 4.6698 -0.6943
S 2.2044 3.4534 5.6024
S 0.6253 3.9106 2.7975
S 5.4753 2.3238 3.5768
S 3.8962 2.7810 0.7719
S -0.5341 1.5647 7.0686
S 2.6958 0.6839 3.9717
S 7.0421 -0.3814 1.7211
S 4.5247 -0.8435 6.7174


8
Lattice="-3.6589 3.9780 -0.5988 -4.2954 -3.9756 -2.1577 -3.7304 1.0661 5.1855" Properties=species:S:1:pos:R:3 comment="URh2S5, optimized geometry, DFT PBE" sg="No. 12" crystal_system=monoclinic pbc="T T T"
U -5.8424 0.5342 1.2145
Rh -8.4036 2.1680 3.0264
Rh -3.2812 -1.0995 -0.5974
S -6.9146 -1.4156 2.6753
S -5.6106 -0.7825 -1.0872
S -4.0129 -1.4548 1.5139
S -4.7701 2.4841 -0.2462
S -6.0742 1.8510 3.5162


18
Lattice="6.1205 0.0000 0.0000 0.0000 6.1205 0.0000 0.0000 0.0000 11.0595" Properties=species:S:1:pos:R:3 comment="U2RhS6, optimized geometry, DFT PBE" sg="No. 136" crystal_system=tetragonal pbc="T T T"
U 3.0603 3.0603 3.5860
U 3.0603 3.0603 7.4735
U 0.0000 0.0000 1.9437
U 0.0000 0.0000 9.1158
Rh 3.0603 3.0603 0.0000
Rh 0.0000 0.0000 5.5298
S 4.2713 4.2713 1.6614
S 4.2713 4.2713 9.3982
S 4.2863 4.2863 5.5298
S 4.8945 1.2260 0.0000
S 4.9095 1.2111 3.8684
S 4.9095 1.2111 7.1911
S 1.2111 4.9095 3.8684
S 1.2111 4.9095 7.1911
S 1.2260 4.8945 0.0000
S 1.8342 1.8342 5.5298
S 1.8492 1.8492 1.6614
S 1.8492 1.8492 9.3982


12
Lattice="-4.3810 4.2721 -0.6991 -1.9191 -1.0418 5.6601 4.6470 3.7670 2.2690" Properties=species:S:1:pos:R:3 comment="URhS4, optimized geometry, DFT PBE" polymorph_energy_mev_per_atom=171 sg="No. 14" crystal_system=monoclinic pbc="T T T"
U 0.0000 0.0000 0.0000
U -3.1501 1.6151 2.4805
Rh 0.1330 4.0196 0.7850
Rh 1.3639 1.3626 3.9645
S -4.2142 3.7300 3.6267
S 0.6703 5.5661 2.3695
S -0.2345 2.0045 2.1827
S 0.6139 2.7710 5.8627
S 2.5610 3.2673 3.6034
S -2.3235 1.4312 4.8605
S -1.4187 4.9928 5.0474
S -2.2670 4.2263 1.3673


Uncorrected formation energy per entry: 4.25; -4.01; -2.65; -7.80; -5.01; -5.56; -2.33; -2.47; -11.46; -3.96; -8.48; -4.61 eV/f.u.